Material: NiGe2Rh
Method: DFT, PBE
State: relaxed

Properties
energy relative to the lowest polymorph listed for this composition: 0 meV per atom

a b c (Å): 5.355 5.355 5.355
angles (deg): 41.47 41.47 41.47
Fractional coordinates of all 4 atoms:
Ni (0.000, 0.000, 0.000)
Ge (0.419, 0.419, 0.419)
Ge (0.606, 0.606, 0.606)
Rh (0.184, 0.184, 0.184)

---

Material: NiGe2Rh4
Method: DFT, PBE
State: relaxed

Properties
VASP energy: -6.71 eV per atom

a b c (Å): 7.221 7.221 7.221
angles (deg): 33.48 33.48 33.48
Fractional coordinates of all 7 atoms:
Ni (0.000, 0.000, 0.000)
Ge (0.247, 0.247, 0.247)
Ge (0.753, 0.753, 0.753)
Rh (0.125, 0.125, 0.125)
Rh (0.374, 0.374, 0.374)
Rh (0.626, 0.626, 0.626)
Rh (0.875, 0.875, 0.875)

---

Q: Number 2 is which compound?
A: NiGe2Rh4